Pr2Tm: relaxed, PBE.

Computed properties:
Density in g/cm³: 2.72
Total magnetization in μB per formula unit: 0.2
Relative energy among the computed polymorphs in meV/atom: 1919
Electronic total energy in eV per atom: -2.48
Formation energy in kcal/mol of atoms: 50.57

Unit cell a=9.203 b=9.203 c=9.203 alpha=60.00 beta=60.00 gamma=60.00
Atoms (fractional coordinates):
Pr 0.000 0.000 0.000
Pr 0.000 0.000 0.500
Pr 0.000 0.500 0.000
Pr 0.500 0.000 0.000
Tm 0.125 0.125 0.125
Tm 0.875 0.875 0.875


Dy2Er3Hg3: relaxed, PBE.

Computed properties:
Density in g/cm³: 11.04
Total magnetization in μB per formula unit: 0.3
Relative energy among the computed polymorphs in meV/atom: 109
Electronic total energy in eV per atom: -3.12
Formation energy in kcal/mol of atoms: -3.47

Unit cell a=6.926 b=6.926 c=5.171 alpha=90.00 beta=90.00 gamma=120.00
Atoms (fractional coordinates):
Dy 0.000 0.000 0.000
Dy 0.333 0.667 0.500
Er 0.504 0.007 0.000
Er 0.504 0.496 0.000
Er 0.993 0.496 0.000
Hg 0.339 0.170 0.500
Hg 0.830 0.170 0.500
Hg 0.830 0.661 0.500


La3BiIr: relaxed, PBE.

Computed properties:
Density in g/cm³: 8.39
Total magnetization in μB per formula unit: 0.0
Electronic total energy in eV per atom: -6.32

Unit cell a=7.036 b=7.036 c=10.967 alpha=90.00 beta=90.00 gamma=143.37
Atoms (fractional coordinates):
La 0.060 0.940 0.750
La 0.362 0.638 0.543
La 0.362 0.638 0.957
La 0.638 0.362 0.043
La 0.638 0.362 0.457
La 0.940 0.060 0.250
Bi 0.242 0.758 0.250
Bi 0.758 0.242 0.750
Ir 0.000 0.000 0.000
Ir 0.000 0.000 0.500


AcYIr: relaxed, PBE.

Computed properties:
Density in g/cm³: 10.20
Total magnetization in μB per formula unit: 0.0
Relative energy among the computed polymorphs in meV/atom: 0
Electronic total energy in eV per atom: -6.24
Formation energy in kcal/mol of atoms: 5.48

Unit cell a=4.891 b=4.891 c=4.891 alpha=60.00 beta=60.00 gamma=60.00
Atoms (fractional coordinates):
Ac 0.000 0.000 0.000
Y 0.250 0.250 0.250
Ir 0.500 0.500 0.500


Li3Hg2Pb: relaxed, PBE.

Computed properties:
Density in g/cm³: 8.99
Electronic total energy in eV per atom: -2.01

Unit cell a=3.392 b=3.392 c=10.096 alpha=90.00 beta=90.00 gamma=90.00
Atoms (fractional coordinates):
Li 0.000 0.000 0.000
Li 0.000 0.000 0.314
Li 0.000 0.000 0.686
Hg 0.500 0.500 0.157
Hg 0.500 0.500 0.843
Pb 0.500 0.500 0.500


NbAuO4: relaxed, PBE.

Computed properties:
Density in g/cm³: 6.82
Total magnetization in μB per formula unit: 0.0
Electronic total energy in eV per atom: -6.85

Unit cell a=6.460 b=6.460 c=7.455 alpha=106.71 beta=106.71 gamma=35.54
Atoms (fractional coordinates):
Nb 0.094 0.094 0.235
Nb 0.906 0.906 0.765
Au 0.210 0.210 0.817
Au 0.790 0.790 0.183
O 0.067 0.067 0.896
O 0.100 0.100 0.471
O 0.271 0.271 0.236
O 0.369 0.369 0.788
O 0.631 0.631 0.212
O 0.729 0.729 0.764
O 0.900 0.900 0.529
O 0.933 0.933 0.104


NdErPO: relaxed, PBE.

Computed properties:
Density in g/cm³: 7.28
Total magnetization in μB per formula unit: 0.0
Relative energy among the computed polymorphs in meV/atom: 227
Electronic total energy in eV per atom: -6.71

Unit cell a=4.312 b=4.312 c=8.793 alpha=90.00 beta=90.00 gamma=90.00
Atoms (fractional coordinates):
Nd 0.250 0.750 0.000
Nd 0.750 0.250 0.000
Er 0.250 0.250 0.407
Er 0.750 0.750 0.593
P 0.250 0.250 0.788
P 0.750 0.750 0.212
O 0.250 0.750 0.500
O 0.750 0.250 0.500


BeTcMo2: relaxed, PBE.

Computed properties:
Density in g/cm³: 8.86
Total magnetization in μB per formula unit: 0.0
Electronic total energy in eV per atom: -8.82

Unit cell a=4.295 b=4.295 c=4.295 alpha=60.00 beta=60.00 gamma=60.00
Atoms (fractional coordinates):
Be 0.000 0.000 0.000
Tc 0.750 0.750 0.750
Mo 0.250 0.250 0.250
Mo 0.500 0.500 0.500